Entry 1:
VASP calculation (PBE) on an optimized crystal structure of CsCaAs.

Cell lengths 9.209, 5.253, 8.622 Å; angles 90.00, 90.00, 90.00 degrees
Sites, in units of the cell vectors:
Cs1 0.994 0.250 0.843
Cs2 0.506 0.750 0.343
Cs3 0.006 0.750 0.157
Cs4 0.494 0.250 0.657
As1 0.182 0.250 0.390
As2 0.318 0.750 0.890
As3 0.818 0.750 0.610
As4 0.682 0.250 0.110
Ca1 0.857 0.250 0.423
Ca2 0.643 0.750 0.923
Ca3 0.143 0.750 0.577
Ca4 0.357 0.250 0.077

Crystal system ... orthorhombic

---

Entry 2:
VASP calculation (PBE) on an optimized crystal structure of Re2Cl.

Cell lengths 5.970, 5.970, 5.970 Å; angles 151.38, 151.38, 40.91 degrees
Sites, in units of the cell vectors:
Cl1 0.000 0.000 0.000
Re1 0.683 0.683 0.000
Re2 0.317 0.317 0.000

Energy relative to the lowest polymorph listed for this composition ... 330 meV/atom
Crystal system ... tetragonal

---

Number 1: VASP energy -0.2402 Ry/atom, magnetic moment 0.00 μB/atom. Number 2: VASP energy -0.6177 Ry/atom, magnetic moment 0.00 μB/atom.